(1)
Material: CsCdF4
Method: DFT, PBE
State: optimized geometry

a = 4.343 Å, b = 4.343 Å, c = 6.540 Å
α = 90.00°, β = 90.00°, γ = 90.00°
Positions (direct):
1 Cs 0.000 0.000 0.000
2 Cd 0.500 0.500 0.500
3 F 0.000 0.500 0.500
4 F 0.500 0.000 0.500
5 F 0.500 0.500 0.178
6 F 0.500 0.500 0.822

Output
The value obtained for the uncorrected formation energy is -2.03 eV/atom. The symmetry is P4/mmm (123).



(2)
Material: Tm2Ga5Ni
Method: DFT, PBE
State: optimized geometry

a = 5.905 Å, b = 5.905 Å, c = 5.905 Å
α = 120.45°, β = 120.45°, γ = 89.22°
Positions (direct):
1 Tm 0.000 0.500 0.500
2 Tm 0.500 0.000 0.500
3 Ga 0.494 0.494 0.000
4 Ga 0.500 0.500 0.502
5 Ga 0.500 0.998 0.000
6 Ga 0.998 0.500 0.000
7 Ga 0.998 0.998 0.498
8 Ni 0.022 0.022 0.000

Output
The calculation puts the energy of formation at -0.4544 eV/atom. The symmetry is I4mm (107).



Number 1: density 4.32 Mg/m³. Number 2: density 8.56 Mg/m³.